(1)
Here is TaVTe2W after structural relaxation from Alexandria via LeMat-Bulk. Energies are from PBE.

## Properties
Energy: -6.266 eV/atom

```
TaVTe2W
1.0
5.3135 0.0000 0.0000
0.0000 5.3135 0.0000
0.0000 0.0000 4.8902
Ta V Te W
1 1 2 1
Cartesian
0.0000 0.0000 0.0000
2.6567 2.6567 2.4451
0.0000 2.6567 0.0000
2.6567 0.0000 0.0000
0.0000 0.0000 2.4451
```

(2)
Here is Ta3TeW after structural relaxation from Alexandria via LeMat-Bulk. Energies are from PBE.

## Properties
Energy: -8.945 eV/atom

```
Ta3TeW
1.0
4.9291 0.0000 0.0000
0.0000 4.9291 0.0000
0.0000 0.0000 4.9291
Ta Te W
3 1 1
Cartesian
0.0000 0.0000 2.4646
0.0000 2.4646 0.0000
2.4646 0.0000 0.0000
2.4646 2.4646 2.4646
0.0000 0.0000 0.0000
```

(3)
Here is Ta2TeW after structural relaxation from Alexandria via LeMat-Bulk. Energies are from PBE.

## Properties
Energy: -9.520 eV/atom

```
Ta2TeW
1.0
-1.9824 1.9824 4.6719
1.9824 -1.9824 4.6719
1.9824 1.9824 -4.6719
Ta Te W
2 1 1
Cartesian
0.0000 0.0000 0.0000
0.0000 1.9824 2.3360
1.9824 0.0000 2.3360
0.0000 0.0000 4.6719
```

(4)
Here is TaTeW3 after structural relaxation from Alexandria via LeMat-Bulk. Energies are from PBE.

## Properties
Energy: -8.514 eV/atom

```
TaTeW3
1.0
4.8607 0.0000 0.0000
0.0000 4.8607 0.0000
0.0000 0.0000 4.8607
Ta Te W
1 1 3
Cartesian
0.0000 0.0000 0.0000
2.4304 2.4304 2.4304
0.0000 0.0000 2.4304
0.0000 2.4304 0.0000
2.4304 0.0000 0.0000
```

(5)
Here is TaTe2W after structural relaxation from Alexandria via LeMat-Bulk. Energies are from PBE.

## Properties
Energy: -7.824 eV/atom

```
TaTe2W
1.0
3.7032 0.0000 0.0000
0.0000 4.1005 0.0000
0.0000 0.0000 7.2823
Ta Te W
1 2 1
Cartesian
0.0000 0.0000 0.0000
0.0000 2.0503 5.3042
1.8516 0.0000 2.0911
1.8516 2.0503 0.0944
```

(6)
Here is Ta2TeW after structural relaxation from Alexandria via LeMat-Bulk. Energies are from PBE.

## Properties
Energy: -9.582 eV/atom

```
Ta2TeW
1.0
3.4036 0.0000 0.0000
0.0000 4.5598 0.0000
0.0000 0.0000 4.7190
Ta Te W
2 1 1
Cartesian
0.0000 0.0000 0.0000
1.7018 0.0000 2.3595
0.0000 2.2799 2.3595
1.7018 2.2799 0.0000
```

(7)
Here is Ta2TeW after structural relaxation from Alexandria via LeMat-Bulk. Energies are from PBE.

## Properties
Energy: -9.499 eV/atom

```
Ta2TeW
1.0
1.6123 0.9309 8.6167
-1.6123 0.9309 8.6167
0.0000 -1.8617 8.6167
Ta Te W
2 1 1
Cartesian
0.0000 0.0000 0.0000
0.0000 0.0000 6.4471
0.0000 0.0000 19.4985
0.0000 0.0000 13.1006
```

(8)
Here is TaTe2W after structural relaxation from Alexandria via LeMat-Bulk. Energies are from PBE.

## Properties
Energy: -6.826 eV/atom

```
TaTe2W
1.0
0.0000 3.4670 3.4670
3.4670 0.0000 3.4670
3.4670 3.4670 0.0000
Ta Te W
1 2 1
Cartesian
0.0000 0.0000 0.0000
3.4670 3.4670 3.4670
5.2004 5.2004 5.2004
1.7335 1.7335 1.7335
```

no.,uncorrected formation energy (meV/atom)
1,1775
2,1385
3,430
4,2257
5,-52
6,369
7,451
8,946